No. 1
Here is a geometry-optimized RbHgI2 structure from Alexandria. Energies are from PBE-GGA.

Size of the total moment: 0.000 μB per cell
Total energy: -1.82 eV/atom
E above lowest polymorph: 7.27 kJ/mol of atoms
Crystal system: tetragonal
SG: I-42d (122)
Calculated density: 3.89 g/cm³

abc: 7.250 7.250 10.149
angles: 69.07 69.07 90.00
Positions (direct):
I: 0.695 0.125 0.250
I: 0.875 0.945 0.750
Rb: 0.250 0.750 0.500
Hg: 0.000 0.000 0.000
I: 0.375 0.305 0.750
Rb: 0.500 0.500 0.000
I: 0.055 0.625 0.250
Hg: 0.750 0.250 0.500

=====

No. 2
Here is a geometry-optimized ZrHgBr4 structure from Alexandria. Energies are from PBE-GGA.

Size of the total moment: 0.000 μB per cell
Total energy: -3.72 eV/atom
E above lowest polymorph: 0.00 kJ/mol of atoms
Crystal system: monoclinic
SG: C2/c (15)
Calculated density: 3.96 g/cm³

abc: 6.651 11.021 9.195
angles: 120.55 102.18 104.56
Positions (direct):
Br: 0.259 0.452 0.097
Hg: 0.705 0.955 0.410
Br: 0.741 0.548 0.903
Br: 0.838 0.145 0.097
Zr: 0.840 0.590 0.679
Br: 0.459 0.301 0.382
Zr: 0.160 0.410 0.321
Br: 0.162 0.855 0.903
Br: 0.077 0.419 0.618
Br: 0.541 0.699 0.618
Hg: 0.295 0.045 0.590
Br: 0.923 0.581 0.382

=====

No. 3
Here is a geometry-optimized La2BeHg structure from Alexandria. Energies are from PBE-GGA.

Size of the total moment: 0.000 μB per cell
Total energy: -3.53 eV/atom
E above lowest polymorph: 9.10 kJ/mol of atoms
Crystal system: trigonal
SG: R3m (160)
Calculated density: 7.58 g/cm³
Energy of formation from the pure elements: -0.060 eV/atom

abc: 6.482 6.482 6.482
angles: 41.21 41.21 41.21
Positions (direct):
Hg: 0.798 0.798 0.798
La: 0.229 0.229 0.229
Be: 0.445 0.445 0.445
La: 0.028 0.028 0.028

=====

No. 4
Here is a geometry-optimized LaSnPbW2 structure from Alexandria. Energies are from PBE-GGA.

Size of the total moment: 0.000 μB per cell
Total energy: -6.05 eV/atom
Crystal system: tetragonal
SG: P4/mmm (123)
Calculated density: 9.41 g/cm³
Energy of formation from the pure elements: 1.657 eV/atom

abc: 5.032 5.799 5.032
angles: 90.00 90.00 90.00
Positions (direct):
Sn: 0.000 0.000 0.000
La: 0.000 0.500 0.000
Pb: 0.500 0.500 0.500
W: 0.500 0.000 0.000
W: 0.000 0.000 0.500

=====

No. 5
Here is a geometry-optimized Li2Pd8Au structure from Alexandria. Energies are from PBE-GGA.

Size of the total moment: 0.000 μB per cell
Total energy: -4.46 eV/atom
E above lowest polymorph: 3.67 kJ/mol of atoms
Crystal system: orthorhombic
SG: Cmmm (65)
Calculated density: 10.38 g/cm³
Energy of formation from the pure elements: -0.042 eV/atom

abc: 4.045 6.602 6.602
angles: 105.43 90.05 90.05
Positions (direct):
Au: 0.500 0.000 0.000
Li: 0.000 0.383 0.617
Li: 0.000 0.617 0.383
Pd: 0.500 0.739 0.261
Pd: 0.000 0.686 0.955
Pd: 0.000 0.045 0.314
Pd: 0.000 0.955 0.686
Pd: 0.000 0.314 0.045
Pd: 0.500 0.261 0.739
Pd: 0.500 0.664 0.664
Pd: 0.500 0.336 0.336

=====

No. 6
Here is a geometry-optimized Rb2VHgBr6 structure from Alexandria. Energies are from PBE-GGA.

Size of the total moment: 2.513 μB per cell
Total energy: -3.18 eV/atom
Crystal system: tetragonal
SG: I4/mmm (139)
Calculated density: 4.34 g/cm³

abc: 7.867 7.867 7.880
angles: 60.05 60.05 90.00
Positions (direct):
Rb: 0.750 0.250 0.500
Br: 0.270 0.270 0.459
Br: 0.269 0.269 0.000
Br: 0.730 0.730 0.541
V: 0.500 0.500 0.000
Hg: 0.000 0.000 0.000
Br: 0.731 0.269 0.000
Br: 0.269 0.731 0.000
Br: 0.731 0.731 0.000
Rb: 0.250 0.750 0.500

=====

No. 7
Here is a geometry-optimized K8Na3Cd2 structure from Alexandria. Energies are from PBE-GGA.

Size of the total moment: 0.000 μB per cell
Total energy: -1.09 eV/atom
Crystal system: monoclinic
SG: C2/m (12)
Calculated density: 1.45 g/cm³
Energy of formation from the pure elements: 0.026 eV/atom

abc: 6.067 10.249 12.305
angles: 114.61 91.13 90.00
Positions (direct):
K: 0.746 0.457 0.340
K: 0.254 0.118 0.660
K: 0.762 0.839 0.678
K: 0.254 0.543 0.660
K: 0.268 0.565 0.130
K: 0.746 0.882 0.340
Cd: 0.248 0.728 0.455
K: 0.732 0.435 0.870
Na: 0.500 0.000 0.000
Na: 0.000 0.175 0.000
K: 0.238 0.161 0.322
Cd: 0.752 0.272 0.545
Na: 0.000 0.825 0.000

=====

No. 8
Here is a geometry-optimized Tm4GaSe3 structure from Alexandria. Energies are from PBE-GGA.

Size of the total moment: 0.000 μB per cell
Total energy: -5.36 eV/atom
E above lowest polymorph: 0.64 kJ/mol of atoms
Crystal system: orthorhombic
SG: Cmmm (65)
Calculated density: 8.62 g/cm³

abc: 3.995 7.077 7.077
angles: 108.97 90.00 90.00
Positions (direct):
Tm: 0.000 0.241 0.241
Tm: 0.000 0.759 0.759
Se: 0.500 0.500 0.500
Se: 0.000 0.500 0.000
Tm: 0.500 0.242 0.758
Ga: 0.500 0.000 0.000
Tm: 0.500 0.758 0.242
Se: 0.000 0.000 0.500

=====

No. 9
Here is a geometry-optimized TaTeMoN2 structure from Alexandria. Energies are from PBE-GGA.

Size of the total moment: 3.106 μB per cell
Total energy: -7.79 eV/atom
E above lowest polymorph: 0.00 kJ/mol of atoms
Crystal system: tetragonal
SG: P4/mmm (123)
Calculated density: 7.56 g/cm³

abc: 4.045 4.045 5.808
angles: 90.00 90.00 90.00
Positions (direct):
Te: 0.000 0.000 0.500
Ta: 0.000 0.000 0.000
Mo: 0.500 0.500 0.500
N: 0.500 0.000 0.000
N: 0.000 0.500 0.000

=====

No. 10
Here is a geometry-optimized Nd3Tc5N12 structure from Alexandria. Energies are from PBE-GGA.

Size of the total moment: 0.002 μB per cell
Total energy: -8.73 eV/atom
Crystal system: cubic
SG: Ia-3d (230)
Calculated density: 6.77 g/cm³

abc: 11.164 11.164 11.164
angles: 109.47 109.47 109.47
Positions (direct):
N: 0.694 0.113 0.011
Nd: 0.750 0.375 0.125
N: 0.183 0.081 0.694
N: 0.306 0.419 0.817
N: 0.489 0.683 0.102
Tc: 0.500 0.000 0.500
N: 0.602 0.613 0.419
Tc: 0.375 0.125 0.750
N: 0.113 0.694 0.511
Nd: 0.875 0.750 0.125
N: 0.581 0.887 0.398
N: 0.081 0.898 0.387
Tc: 0.125 0.750 0.375
N: 0.102 0.183 0.489
Nd: 0.875 0.125 0.250
Tc: 0.500 0.500 0.000
N: 0.387 0.398 0.081
Tc: 0.500 0.000 0.000
Tc: 0.625 0.875 0.250
Tc: 0.000 0.000 0.500
Nd: 0.250 0.125 0.375
N: 0.317 0.511 0.398
Tc: 0.000 0.500 0.500
N: 0.613 0.011 0.194
Tc: 0.125 0.375 0.250
N: 0.817 0.919 0.306
N: 0.613 0.602 0.919
N: 0.306 0.887 0.989
N: 0.898 0.081 0.887
Tc: 0.750 0.625 0.375
Tc: 0.375 0.250 0.125
N: 0.398 0.387 0.581
N: 0.887 0.581 0.898
N: 0.194 0.511 0.613
Nd: 0.625 0.375 0.750
Tc: 0.625 0.750 0.875
Tc: 0.750 0.125 0.875
N: 0.511 0.317 0.898
N: 0.011 0.398 0.817
Nd: 0.125 0.875 0.750
N: 0.581 0.694 0.683
Tc: 0.250 0.375 0.625
Nd: 0.250 0.625 0.875
Tc: 0.000 0.500 0.000
N: 0.602 0.989 0.683
N: 0.694 0.581 0.183
N: 0.183 0.102 0.989
N: 0.317 0.806 0.419
N: 0.898 0.817 0.511
Nd: 0.625 0.250 0.375
Nd: 0.125 0.250 0.875
N: 0.398 0.011 0.317
N: 0.419 0.113 0.602
N: 0.511 0.194 0.113
N: 0.081 0.183 0.194
N: 0.919 0.817 0.806
N: 0.102 0.919 0.113
N: 0.387 0.989 0.806
Tc: 0.250 0.875 0.125
N: 0.806 0.317 0.919
N: 0.817 0.898 0.011
N: 0.194 0.683 0.081
N: 0.683 0.194 0.581
N: 0.011 0.613 0.694
N: 0.683 0.489 0.602
Nd: 0.750 0.875 0.625
N: 0.887 0.306 0.489
N: 0.919 0.102 0.613
Tc: 0.875 0.250 0.625
N: 0.989 0.602 0.183
Nd: 0.375 0.625 0.250
Tc: 0.000 0.000 0.000
Nd: 0.375 0.750 0.625
N: 0.419 0.306 0.317
N: 0.806 0.489 0.387
N: 0.113 0.419 0.102
N: 0.989 0.387 0.306
Tc: 0.500 0.500 0.500
Tc: 0.875 0.625 0.750
N: 0.489 0.806 0.887

=====

No. 11
Here is a geometry-optimized Li2LaPrSn2 structure from Alexandria. Energies are from PBE-GGA.

Size of the total moment: 0.000 μB per cell
Total energy: -4.26 eV/atom
Crystal system: trigonal
SG: P-3m1 (164)
Calculated density: 5.57 g/cm³
Energy of formation from the pure elements: -0.668 eV/atom

abc: 4.816 4.816 7.886
angles: 90.00 90.00 120.00
Positions (direct):
Li: 0.333 0.667 0.767
Li: 0.667 0.333 0.233
Sn: 0.667 0.333 0.755
Sn: 0.333 0.667 0.245
Pr: 0.000 0.000 0.000
La: 0.000 0.000 0.500

=====

No. 12
Here is a geometry-optimized K4NaF6 structure from Alexandria. Energies are from PBE-GGA.

Size of the total moment: 2.137 μB per cell
Total energy: -4.01 eV/atom
Crystal system: trigonal
SG: R-3c (167)
Calculated density: 2.45 g/cm³

abc: 7.359 7.359 7.359
angles: 91.51 91.51 88.49
Positions (direct):
F: 0.794 0.587 0.564
K: 0.880 0.250 0.380
F: 0.587 0.436 0.206
K: 0.750 0.380 0.880
K: 0.620 0.880 0.750
F: 0.206 0.413 0.436
F: 0.936 0.087 0.706
F: 0.436 0.794 0.413
K: 0.380 0.120 0.250
F: 0.913 0.706 0.936
F: 0.294 0.936 0.913
F: 0.087 0.294 0.064
Na: 0.500 0.500 0.500
F: 0.706 0.064 0.087
F: 0.564 0.206 0.587
K: 0.250 0.250 0.750
Na: 0.000 0.000 0.000
F: 0.413 0.564 0.794
K: 0.120 0.750 0.620
K: 0.750 0.750 0.250
K: 0.250 0.620 0.120
F: 0.064 0.913 0.294

=====

Q: total energy of number 2 (ZrHgBr4)?
A: -3.72 eV/atom

=====

Q: size of the total moment of number 12 (K4NaF6)?
A: 2.137 μB per cell

=====

Q: The highest calculated density belongs to which entry?
A: Li2Pd8Au